VASP calculation (PBE) on a relaxed CaRhAu crystal.

POSCAR file:
```
CaRhAu
1.0
-1.407 4.038 -1.395
1.683 -2.941 -2.958
-3.389 -1.375 -0.562
Rh Au Ca
1 1 1
Direct
0.333 0.667 0.833
0.000 0.000 0.833
0.667 0.333 0.333
```

Results
As for the space group: No. 187. The crystal system is hexagonal. For the calculated volume, the calculation gives 21.606 Å³ per atom. Its formation energy is -0.360 eV per atom. As for the energy: -4.570 eV per atom.

---

VASP calculation (PBE) on a relaxed CaRh3Au crystal.

POSCAR file:
```
CaRh3Au
1.0
-0.969 3.830 -2.593
-4.601 -1.069 0.140
-0.473 2.553 3.948
Rh Au Ca
3 1 1
Direct
0.000 0.000 0.500
0.000 0.500 0.000
0.500 0.000 0.000
0.500 0.500 0.500
0.000 0.000 0.000
```

Results
As for the space group: No. 221. The crystal system is cubic. For the calculated volume, the calculation gives 21.106 Å³ per atom. Its formation energy is 1.497 eV per atom. As for the energy: -3.970 eV per atom.

---

VASP calculation (PBE) on a relaxed Ca4RhAu crystal.

POSCAR file:
```
Ca4RhAu
1.0
-1.732 -4.646 -0.398
1.862 -1.078 4.486
-6.130 2.022 3.035
Rh Ca Au
1 4 1
Direct
0.001 0.997 0.498
0.001 0.497 0.262
0.501 0.998 0.735
0.501 0.997 0.262
0.001 0.498 0.735
0.501 0.497 0.998
```

Results
As for the space group: No. 123. The crystal system is tetragonal. For the calculated volume, the calculation gives 29.416 Å³ per atom. Its formation energy is -0.455 eV per atom. As for the energy: -3.561 eV per atom.

---

VASP calculation (PBE) on a relaxed Ca2Rh2Au crystal.

POSCAR file:
```
Ca2Rh2Au
1.0
3.657 0.000 0.000
0.000 3.657 0.000
1.828 1.828 8.422
Ca Au Rh
2 1 2
Direct
0.390 0.390 0.221
0.610 0.610 0.779
0.000 0.000 0.000
0.750 0.250 0.500
0.250 0.750 0.500
```

Results
As for the space group: No. 139. The crystal system is tetragonal. For the calculated volume, the calculation gives 22.521 Å³ per atom. Its formation energy is -0.284 eV per atom. As for the energy: -4.681 eV per atom.

---

VASP calculation (PBE) on a relaxed CaRhAu crystal.

POSCAR file:
```
CaRhAu
1.0
5.402 0.010 -0.028
3.056 4.455 0.028
-4.213 -2.263 2.513
Ca Au Rh
1 1 1
Direct
0.331 0.331 0.000
0.020 0.020 0.000
0.649 0.649 0.000
```

Results
As for the space group: No. 107. The crystal system is tetragonal. For the calculated volume, the calculation gives 20.137 Å³ per atom. Its formation energy is -0.276 eV per atom. As for the energy: -4.486 eV per atom.

---

VASP calculation (PBE) on a relaxed CaRhAu crystal.

POSCAR file:
```
CaRhAu
1.0
3.139 0.000 0.000
-1.569 2.718 0.000
0.000 0.000 6.882
Rh Au Ca
1 1 1
Direct
0.667 0.333 0.662
0.000 0.000 0.989
0.333 0.667 0.349
```

Results
As for the space group: No. 156. The crystal system is trigonal. For the calculated volume, the calculation gives 19.573 Å³ per atom. Its formation energy is 0.070 eV per atom. As for the energy: -4.140 eV per atom.

---

VASP calculation (PBE) on a relaxed CaRhAu3 crystal.

POSCAR file:
```
CaRhAu3
1.0
-2.581 4.337 0.093
-0.530 -0.208 -5.016
-4.305 -2.575 0.562
Au Ca Rh
3 1 1
Direct
0.000 0.500 0.000
0.500 0.000 0.000
0.000 0.000 0.500
0.500 0.500 0.500
0.000 0.000 0.000
```

Results
As for the space group: No. 221. The crystal system is cubic. For the calculated volume, the calculation gives 25.723 Å³ per atom. Its formation energy is 0.094 eV per atom. As for the energy: -3.743 eV per atom.

---

VASP calculation (PBE) on a relaxed CaRh3Au crystal.

POSCAR file:
```
CaRh3Au
1.0
-2.207 0.020 -4.397
1.334 -4.685 -0.690
-4.190 -1.502 2.096
Rh Ca Au
3 1 1
Direct
0.500 0.000 0.000
0.000 0.000 0.500
0.000 0.500 0.000
0.500 0.500 0.500
0.000 0.000 0.000
```

Results
As for the space group: No. 221. The crystal system is cubic. For the calculated volume, the calculation gives 23.810 Å³ per atom. Its formation energy is 0.915 eV per atom. As for the energy: -4.552 eV per atom.

---

VASP calculation (PBE) on a relaxed Ca6RhAu2 crystal.

POSCAR file:
```
Ca6RhAu2
1.0
-3.711 3.371 4.630
0.633 -6.152 4.986
8.455 3.874 3.706
Ca Rh Au
12 2 4
Direct
0.140 0.037 0.246
0.341 0.832 0.564
0.656 0.185 0.061
0.360 0.537 0.254
0.659 0.168 0.436
0.344 0.815 0.939
0.841 0.668 0.064
0.156 0.315 0.561
0.640 0.463 0.746
0.844 0.685 0.439
0.860 0.963 0.754
0.159 0.332 0.936
0.000 0.000 0.500
0.500 0.500 0.000
0.053 0.620 0.740
0.947 0.380 0.260
0.553 0.880 0.240
0.447 0.120 0.760
```

Results
As for the space group: No. 14. The crystal system is monoclinic. For the calculated volume, the calculation gives 30.151 Å³ per atom. Its formation energy is -0.510 eV per atom. As for the energy: -3.389 eV per atom.

---

VASP calculation (PBE) on a relaxed CaRh2Au2 crystal.

POSCAR file:
```
CaRh2Au2
1.0
7.643 0.000 0.000
0.000 7.643 0.000
0.000 0.000 3.188
Rh Au Ca
4 4 2
Direct
0.345 0.155 0.500
0.655 0.845 0.500
0.845 0.345 0.500
0.155 0.655 0.500
0.642 0.142 0.000
0.358 0.858 0.000
0.858 0.642 0.000
0.142 0.358 0.000
0.000 0.000 0.000
0.500 0.500 0.000
```

Results
As for the space group: No. 127. The crystal system is tetragonal. For the calculated volume, the calculation gives 18.624 Å³ per atom. Its formation energy is -0.065 eV per atom. As for the energy: -4.716 eV per atom.

---

VASP calculation (PBE) on a relaxed Ca2Sb3Rh4Au crystal.

POSCAR file:
```
Ca2Sb3Rh4Au
1.0
4.332 0.000 0.000
0.000 4.332 0.000
0.000 0.000 11.243
Ca Sb Rh Au
2 3 4 1
Direct
0.000 0.500 0.737
0.500 0.000 0.263
0.500 0.000 0.868
0.000 0.000 0.500
0.000 0.500 0.132
0.500 0.000 0.643
0.000 0.000 0.000
0.000 0.500 0.357
0.500 0.500 0.000
0.500 0.500 0.500
```

Results
As for the space group: No. 115. The uncorrected formation energy is -0.610 eV per atom. The crystal system is tetragonal. For the calculated volume, the calculation gives 21.099 Å³ per atom. As for the energy: -5.516 eV per atom.

---

VASP calculation (PBE) on a relaxed Ca2SnRhAu crystal.

POSCAR file:
```
Ca2SnRhAu
1.0
5.868 0.000 0.000
0.000 4.998 0.000
0.000 0.000 5.868
Au Sn Ca Rh
1 1 2 1
Direct
0.000 0.500 0.000
0.000 0.000 0.000
0.000 0.000 0.500
0.500 0.000 0.000
0.500 0.500 0.500
```

Results
As for the space group: No. 123. The crystal system is tetragonal. For the calculated volume, the calculation gives 34.419 Å³ per atom. Its formation energy is 0.503 eV per atom. As for the energy: -3.224 eV per atom.